Below is La6Pm2HoSc after structural relaxation, with properties calculated at the GGA-PBE level.

Lattice parameters (Å, degrees): 10.8181 7.4202 9.1306 90.00 106.36 90.00
Last column: nearest neighbours and their distance in Å.
Space group C2/m (No. 12)
Unique sites:
La 0.1382 0.2280 0.2854 (multiplicity 8)  1 Sc 3.11, 2 Pm 3.21-3.47, 1 La 3.38, 1 Ho 3.43
La 0.1612 0.5000 0.9386 (multiplicity 4)  1 Sc 3.55, 7 La 3.78-3.95, 1 Pm 3.82, 1 Ho 3.89
Pm 0.1220 0.0000 0.6506 (multiplicity 4)  4 La 3.21-3.47, 1 Pm 3.23
Ho 0.0000 0.5000 0.5000 (multiplicity 2)  4 La 3.43
Sc 0.0000 0.0000 0.0000 (multiplicity 2)  4 La 3.11

The formation energy is 0.196 eV/atom. The theoretical density is 6.30 g/cm3. The value obtained for the magnetic moment is 0.000 μB/atom.

Below is LaPm5Ho2Sc after structural relaxation, with properties calculated at the GGA-PBE level.

Lattice parameters (Å, degrees): 5.6727 20.0499 10.5115 90.00 90.00 90.00
Last column: nearest neighbours and their distance in Å.
Space group Cmc2_1 (No. 36)
Unique sites:
La 0.0000 0.0864 0.0000 (multiplicity 4)  5 Pm 3.05-3.32
Pm 0.0000 0.0156 0.2852 (multiplicity 4)  2 La 3.05-3.32
Pm 0.0000 0.1253 0.5630 (multiplicity 4)  4 Ho 3.58-3.64, 1 Sc 3.59, 4 Pm 3.64-3.74
Pm 0.0000 0.2025 0.2501 (multiplicity 4)  4 Pm 3.43-3.77, 3 Sc 3.49-3.82, 1 La 3.51, 3 Ho 3.55-3.66
Pm 0.0000 0.2229 0.8661 (multiplicity 4)  1 La 3.08, 1 Ho 3.31, 2 Pm 3.43
Pm 0.0000 0.4818 0.5630 (multiplicity 4)  2 La 3.22, 3 Ho 3.40-3.57, 1 Sc 3.56
Ho 0.0000 0.3846 0.2788 (multiplicity 4)  1 Sc 3.34, 7 Pm 3.51-3.68, 2 La 3.71
Ho 0.0000 0.3878 0.8566 (multiplicity 4)  9 Pm 3.31-3.62, 1 Sc 3.56
Sc 0.0000 0.3044 0.5577 (multiplicity 4)  2 Ho 3.34-3.56, 7 Pm 3.49-3.63, 2 La 3.63

The formation energy is 0.166 eV/atom. The theoretical density is 6.88 g/cm3. The value obtained for the magnetic moment is 0.000 μB/atom.

Below is LaPm2Ho5Sc after structural relaxation, with properties calculated at the GGA-PBE level.

Lattice parameters (Å, degrees): 8.6828 8.6828 15.3010 90.00 90.00 90.00
Last column: nearest neighbours and their distance in Å.
Space group I4/mcm (No. 140)
Unique sites:
La 0.0000 0.0000 0.2500 (multiplicity 4)  10 Ho 3.56-3.83
Pm 0.1185 0.3815 0.0000 (multiplicity 8)  1 Pm 2.91, 2 Ho 3.03
Ho 0.0000 0.0000 0.0000 (multiplicity 4)  4 Pm 3.47, 8 Ho 3.77, 2 La 3.83
Ho 0.2045 0.2955 0.3616 (multiplicity 16)  1 Pm 3.03, 1 Sc 3.04
Sc 0.0000 0.5000 0.2500 (multiplicity 4)  4 Ho 3.04

The formation energy is 0.270 eV/atom. The theoretical density is 7.48 g/cm3. The value obtained for the magnetic moment is 0.000 μB/atom.

Below is La2Pm4HoSc after structural relaxation, with properties calculated at the GGA-PBE level.

Lattice parameters (Å, degrees): 5.0765 5.0984 10.2833 90.00 90.06 90.00
Last column: nearest neighbours and their distance in Å.
Space group P2/m (No. 10)
Unique sites:
La 0.0000 0.0000 0.0000 (multiplicity 1)  8 Pm 3.58-3.59, 4 Sc 3.60
La 0.5000 0.5000 0.5000 (multiplicity 1)  4 Ho 3.60, 8 Pm 3.65
Pm 0.9995 0.5000 0.2456 (multiplicity 2)  2 Sc 3.58, 4 La 3.59-3.65, 4 Pm 3.60, 2 Ho 3.65
Pm 0.5000 0.0000 0.2460 (multiplicity 2)  4 La 3.58-3.65, 2 Sc 3.59, 4 Pm 3.60, 2 Ho 3.64
Ho 0.0000 0.0000 0.5000 (multiplicity 1)  4 La 3.60, 8 Pm 3.64-3.65
Sc 0.5000 0.5000 0.0000 (multiplicity 1)  8 Pm 3.58-3.59, 4 La 3.60

The formation energy is 0.043 eV/atom. The theoretical density is 6.66 g/cm3. The value obtained for the magnetic moment is 0.000 μB/atom.

Below is LaPmHo3Sc after structural relaxation, with properties calculated at the GGA-PBE level.

Lattice parameters (Å, degrees): 5.0179 14.9751 10.0452 90.00 90.00 90.00
Last column: nearest neighbours and their distance in Å.
Space group Cmcm (No. 63)
Unique sites:
La 0.0000 0.0019 0.2500 (multiplicity 4)  4 Pm 3.55, 2 Sc 3.55, 6 Ho 3.56-3.61
Pm 0.0000 0.5000 0.0000 (multiplicity 4)  4 La 3.55, 6 Ho 3.57-3.59, 2 Sc 3.58
Ho 0.0000 0.1696 0.5007 (multiplicity 8)  5 Ho 3.46-3.55, 3 Sc 3.47-3.55, 2 La 3.56-3.59, 2 Pm 3.57
Ho 0.0000 0.3283 0.2500 (multiplicity 4)  2 Sc 3.45, 6 Ho 3.46-3.55, 2 Pm 3.59, 2 La 3.61
Sc 0.0000 0.3299 0.7500 (multiplicity 4)  8 Ho 3.45-3.55, 2 La 3.55, 2 Pm 3.58

The formation energy is 0.049 eV/atom. The theoretical density is 7.25 g/cm3. The value obtained for the magnetic moment is 0.000 μB/atom.

Below is La3Pm6Ho2Sc after structural relaxation, with properties calculated at the GGA-PBE level.

Lattice parameters (Å, degrees): 6.2767 10.8825 11.9861 90.00 100.09 90.00
Last column: nearest neighbours and their distance in Å.
Space group C2/m (No. 12)
Unique sites:
La 0.0000 0.0000 0.0000 (multiplicity 2)  6 La 3.63, 6 Pm 3.70-3.72
La 0.0000 0.3332 0.0000 (multiplicity 4)  6 La 3.62-3.63, 6 Pm 3.70-3.72
Pm 0.2452 0.3350 0.7407 (multiplicity 8)  1 Sc 3.52, 2 Ho 3.54, 6 Pm 3.59-3.65, 3 La 3.70-3.72
Pm 0.2502 0.0000 0.7411 (multiplicity 4)  1 Sc 3.52, 2 Ho 3.54, 6 Pm 3.59-3.65, 3 La 3.70-3.72
Ho 0.0000 0.1665 0.5000 (multiplicity 4)  6 Pm 3.54, 3 Sc 3.62-3.63, 3 Ho 3.62-3.63
Sc 0.0000 0.5000 0.5000 (multiplicity 2)  6 Pm 3.52, 6 Ho 3.62-3.63

The formation energy is 0.035 eV/atom. The theoretical density is 6.85 g/cm3. The value obtained for the magnetic moment is 0.000 μB/atom.

Below is La3Pm2HoSe6 after structural relaxation, with properties calculated at the GGA-PBE level.

Lattice parameters (Å, degrees): 7.3048 12.6930 7.3475 90.00 109.44 90.00
Last column: nearest neighbours and their distance in Å.
Space group C2/m (No. 12)
Unique sites:
La 0.0000 0.0000 0.0000 (multiplicity 2)  6 Se 3.02-3.08
La 0.0000 0.3295 0.0000 (multiplicity 4)  6 Se 3.02-3.06
Pm 0.0000 0.1667 0.5000 (multiplicity 4)  6 Se 2.96-2.98
Ho 0.0000 0.5000 0.5000 (multiplicity 2)  6 Se 2.89-2.90
Se 0.2412 0.3373 0.7364 (multiplicity 8)  1 Ho 2.89, 2 Pm 2.96, 3 La 3.02-3.06
Se 0.2451 0.5000 0.2598 (multiplicity 4)  1 Ho 2.90, 2 Pm 2.98, 3 La 3.04-3.08

For the uncorrected formation energy, the calculation gives -22.86 eV per formula unit. The theoretical density is 6.96 g/cm3. The value obtained for the magnetic moment is 0.000 μB/atom.

Below is La3PmHo2Se6 after structural relaxation, with properties calculated at the GGA-PBE level.

Lattice parameters (Å, degrees): 7.2402 12.5814 7.3463 90.00 109.27 90.00
Last column: nearest neighbours and their distance in Å.
Space group C2/m (No. 12)
Unique sites:
La 0.0000 0.0000 0.0000 (multiplicity 2)  6 Se 3.01-3.06
La 0.0000 0.3372 0.0000 (multiplicity 4)  6 Se 3.03-3.06
Pm 0.0000 0.5000 0.5000 (multiplicity 2)  6 Se 2.95-2.96
Ho 0.0000 0.1666 0.5000 (multiplicity 4)  6 Se 2.88-2.89
Se 0.2355 0.0000 0.7310 (multiplicity 4)  2 Ho 2.88, 1 Pm 2.95, 3 La 3.01-3.05
Se 0.2487 0.3293 0.7345 (multiplicity 8)  2 Ho 2.89, 1 Pm 2.96, 3 La 3.03-3.06

For the uncorrected formation energy, the calculation gives -22.65 eV per formula unit. The theoretical density is 7.18 g/cm3. The value obtained for the magnetic moment is 0.000 μB/atom.

Below is LaPmHo2Se4 after structural relaxation, with properties calculated at the GGA-PBE level.

Lattice parameters (Å, degrees): 7.1158 4.0835 7.3711 90.00 108.60 90.00
Last column: nearest neighbours and their distance in Å.
Space group P2/m (No. 10)
Unique sites:
La 0.0000 0.0000 0.0000 (multiplicity 1)  6 Se 3.03
Pm 0.5000 0.5000 0.0000 (multiplicity 1)  6 Se 3.00
Ho 0.0000 0.5000 0.5000 (multiplicity 1)  6 Se 2.88
Ho 0.5000 0.0000 0.5000 (multiplicity 1)  6 Se 2.85-2.86
Se 0.2473 0.0000 0.7338 (multiplicity 2)  3 Ho 2.86-2.88, 2 Pm 3.00, 1 La 3.03
Se 0.2595 0.5000 0.2688 (multiplicity 2)  3 Ho 2.85-2.88, 1 Pm 3.00, 2 La 3.03

For the uncorrected formation energy, the calculation gives -14.60 eV per formula unit. The theoretical density is 7.60 g/cm3. The value obtained for the magnetic moment is 0.000 μB/atom.

Below is LaPm3Ho2Se6 after structural relaxation, with properties calculated at the GGA-PBE level.

Lattice parameters (Å, degrees): 7.2035 12.5281 7.2333 90.00 109.52 90.00
Last column: nearest neighbours and their distance in Å.
Space group C2/m (No. 12)
Unique sites:
La 0.0000 0.0000 0.0000 (multiplicity 2)  6 Se 2.98-3.01
Pm 0.0000 0.1597 0.5000 (multiplicity 4)  6 Se 2.95-3.01
Pm 0.0000 0.5000 0.5000 (multiplicity 2)  6 Se 2.92-3.00
Ho 0.0000 0.3329 0.0000 (multiplicity 4)  6 Se 2.87-2.90
Se 0.2332 0.5000 0.2387 (multiplicity 4)  2 Ho 2.87, 3 Pm 2.92-2.97, 1 La 2.98
Se 0.2451 0.3269 0.7542 (multiplicity 8)  2 Ho 2.89-2.90, 3 Pm 2.95-3.01, 1 La 3.01

For the uncorrected formation energy, the calculation gives -21.90 eV per formula unit. The theoretical density is 7.44 g/cm3. The value obtained for the magnetic moment is 0.000 μB/atom.

Below is La2Pm3HoSe6 after structural relaxation, with properties calculated at the GGA-PBE level.

Lattice parameters (Å, degrees): 18.3300 4.1945 8.4775 90.00 103.10 90.00
Last column: nearest neighbours and their distance in Å.
Space group C2/m (No. 12)
Unique sites:
La 0.1664 0.0000 0.3344 (multiplicity 4)  6 Se 3.01-3.03
Pm 0.0000 0.5000 0.5000 (multiplicity 2)  6 Se 2.94-3.04
Pm 0.1700 0.0000 0.8348 (multiplicity 4)  6 Se 2.95-3.01
Ho 0.0000 0.5000 0.0000 (multiplicity 2)  6 Se 2.89-2.93
Se 0.0033 0.0000 0.7612 (multiplicity 4)  2 Ho 2.93, 3 Pm 2.98-3.04, 1 La 3.03
Se 0.1617 0.5000 0.0762 (multiplicity 4)  1 Ho 2.89, 3 Pm 2.96-3.01, 2 La 3.02
Se 0.1648 0.5000 0.5883 (multiplicity 4)  3 Pm 2.94-2.95, 3 La 3.01

For the uncorrected formation energy, the calculation gives -22.42 eV per formula unit. The theoretical density is 7.07 g/cm3. The value obtained for the magnetic moment is 0.000 μB/atom.

Below is La2PmHo3Se6 after structural relaxation, with properties calculated at the GGA-PBE level.

Lattice parameters (Å, degrees): 18.2715 4.1106 8.4496 90.00 105.03 90.00
Last column: nearest neighbours and their distance in Å.
Space group C2/m (No. 12)
Unique sites:
La 0.1658 0.0000 0.3318 (multiplicity 4)  6 Se 3.02-3.04
Pm 0.0000 0.5000 0.0000 (multiplicity 2)  6 Se 2.99-3.01
Ho 0.0000 0.5000 0.5000 (multiplicity 2)  6 Se 2.86-2.89
Ho 0.1674 0.0000 0.8335 (multiplicity 4)  6 Se 2.86-2.89
Se 0.0053 0.0000 0.7433 (multiplicity 4)  3 Ho 2.86-2.89, 2 Pm 3.01, 1 La 3.02
Se 0.1622 0.5000 0.5947 (multiplicity 4)  3 Ho 2.86, 3 La 3.04
Se 0.1691 0.5000 0.0698 (multiplicity 4)  3 Ho 2.86-2.89, 1 Pm 2.99, 2 La 3.03

For the uncorrected formation energy, the calculation gives -22.08 eV per formula unit. The theoretical density is 7.54 g/cm3. The value obtained for the magnetic moment is 0.000 μB/atom.

no.,electronic total energy (eV per atom)
1,-4.80
2,-4.74
3,-4.58
4,-4.93
5,-4.91
6,-4.86
7,-6.05
8,-6.02
9,-5.92
10,-5.93
11,-6.00
12,-5.94